[1]
! TiSiICl2 (PBE, optimized geometry); values from VASP
! **Density**: 3.63 g cm⁻³
! **Symmetry**: No. 123
! **ΔE_f (raw)**: -0.076 eV per atom
&SYSTEM
  ibrav = 0, nat = 5, ntyp = 4
/
ATOMIC_SPECIES
Ti 47.87 Ti.upf
Si 28.09 Si.upf
I 126.90 I.upf
Cl 35.45 Cl.upf
CELL_PARAMETERS angstrom
4.714 0.000 0.000
0.000 4.714 0.000
0.000 0.000 5.631
ATOMIC_POSITIONS crystal
Ti 0.000 0.000 0.000
Si 0.000 0.000 0.500
I 0.500 0.500 0.000
Cl 0.000 0.500 0.500
Cl 0.500 0.000 0.500

[2]
! LaNd6Er4 (PBE, optimized geometry); values from VASP
! **Density**: 7.44 g cm⁻³
! **Symmetry**: No. 63
! **ΔE to the lowest computed polymorph**: 0 meV/atom
&SYSTEM
  ibrav = 0, nat = 22, ntyp = 3
/
ATOMIC_SPECIES
La 138.91 La.upf
Nd 144.24 Nd.upf
Er 167.26 Er.upf
CELL_PARAMETERS angstrom
2.948 -4.868 0.000
2.948 4.868 0.000
0.000 0.000 26.042
ATOMIC_POSITIONS crystal
La 0.211 0.789 0.750
La 0.789 0.211 0.250
Nd 0.122 0.878 0.180
Nd 0.122 0.878 0.320
Nd 0.199 0.801 0.597
Nd 0.199 0.801 0.903
Nd 0.448 0.552 0.250
Nd 0.500 0.500 0.000
Nd 0.500 0.500 0.500
Nd 0.552 0.448 0.750
Nd 0.801 0.199 0.097
Nd 0.801 0.199 0.403
Nd 0.878 0.122 0.680
Nd 0.878 0.122 0.820
Er 0.151 0.849 0.043
Er 0.151 0.849 0.457
Er 0.457 0.543 0.124
Er 0.457 0.543 0.376
Er 0.543 0.457 0.624
Er 0.543 0.457 0.876
Er 0.849 0.151 0.543
Er 0.849 0.151 0.957

[3]
! Na2Zr2Te5 (PBE, optimized geometry); values from VASP
! **Density**: 5.48 g cm⁻³
! **Symmetry**: No. 64
! **ΔE_f (raw)**: -0.803 eV per atom
&SYSTEM
  ibrav = 0, nat = 18, ntyp = 3
/
ATOMIC_SPECIES
Na 22.99 Na.upf
Zr 91.22 Zr.upf
Te 127.60 Te.upf
CELL_PARAMETERS angstrom
7.792 -4.082 0.000
7.792 4.082 0.000
0.000 0.000 8.260
ATOMIC_POSITIONS crystal
Na 0.204 0.204 0.000
Na 0.296 0.296 0.500
Na 0.704 0.704 0.500
Na 0.796 0.796 0.000
Zr 0.146 0.854 0.648
Zr 0.354 0.646 0.148
Zr 0.646 0.354 0.852
Zr 0.854 0.146 0.352
Te 0.000 0.000 0.000
Te 0.029 0.732 0.353
Te 0.232 0.529 0.853
Te 0.268 0.971 0.353
Te 0.471 0.768 0.853
Te 0.500 0.500 0.500
Te 0.529 0.232 0.147
Te 0.732 0.029 0.647
Te 0.768 0.471 0.147
Te 0.971 0.268 0.647